DFT (PBE with a Hubbard U) results for a relaxed BaCeEuNiO6 crystal.

Cell and atoms, written as POSCAR:
```
BaCeEuNiO6
1.0
-1.5141 3.4716 4.4339
-5.1283 2.7742 -0.0888
-4.2528 -1.6162 3.6477
Ni O Ba Ce Eu
1 6 1 1 1
Cartesian
-5.4476 2.3148 3.9964
-6.0090 4.1621 4.1603
-5.2975 2.5307 2.0767
-7.2960 1.7712 3.7909
-4.8861 0.4676 3.8326
-3.5991 2.8584 4.2020
-5.5976 2.0989 5.9162
-2.7238 1.1574 1.9982
0.0000 0.0000 0.0000
-8.1713 3.4722 5.9947
```

Summary:
Crystal system: cubic
Energy in eV/atom: -7.3403
Total magnetization in μB/f.u.: 7.000